(1)
{"formula": "Ca3MnGe", "functional": "GGA-PBE", "state": "optimized geometry", "ef_ev_per_atom": 0.68, "lattice": [[-5.194, 1.066, 0.402], [-0.403, -3.475, 4.005], [1.066, 3.881, 3.475]], "species": ["Ge", "Mn", "Ca", "Ca", "Ca"], "frac_coords": [[0.500, 0.500, 0.500], [0.000, 0.000, 0.000], [0.000, 0.500, 0.000], [0.000, 0.000, 0.500], [0.500, 0.000, 0.000]]}

(2)
{"formula": "TlCd2HgPt", "functional": "GGA-PBE", "state": "optimized geometry", "ef_ev_per_atom": -0.08, "e_above_lowest_polymorph_mev_per_atom": 0, "lattice": [[5.330, 0.000, 0.000], [0.000, 5.330, 0.000], [0.000, 0.000, 5.270]], "species": ["Tl", "Hg", "Pt", "Cd", "Cd"], "frac_coords": [[0.000, 0.000, 0.500], [0.500, 0.500, 0.500], [0.000, 0.000, 0.000], [0.000, 0.500, 0.000], [0.500, 0.000, 0.000]]}

(3)
{"formula": "HoZrIn2", "functional": "GGA-PBE", "state": "optimized geometry", "ef_ev_per_atom": -0.32, "lattice": [[-3.644, 2.328, 0.533], [-1.108, -0.703, -4.508], [-2.322, -3.906, 1.180]], "species": ["Ho", "Zr", "In", "In"], "frac_coords": [[0.500, 0.500, 0.500], [0.500, 0.000, 0.000], [0.000, 0.000, 0.500], [0.000, 0.500, 0.000]]}

(4)
{"formula": "Pm4CoRh", "functional": "GGA-PBE", "state": "optimized geometry", "ef_ev_per_atom": -0.25, "e_above_lowest_polymorph_mev_per_atom": 14, "lattice": [[7.772, -0.093, 0.000], [-3.223, 7.072, 0.000], [-2.274, -3.490, 6.562]], "species": ["Pm", "Pm", "Pm", "Pm", "Pm", "Pm", "Pm", "Pm", "Co", "Co", "Rh", "Rh"], "frac_coords": [[0.257, 0.954, 0.697], [0.743, 0.443, 0.700], [0.704, 0.507, 0.197], [0.193, 0.993, 0.200], [0.310, 0.507, 0.803], [0.792, 0.993, 0.800], [0.743, 0.042, 0.300], [0.257, 0.560, 0.303], [0.750, 0.750, 0.000], [0.500, 0.000, 0.500], [0.249, 0.249, 0.000], [0.999, 0.499, 0.500]]}

(5)
{"formula": "AgP2", "functional": "GGA-PBE", "state": "optimized geometry", "ef_ev_per_atom": 0.32, "e_above_lowest_polymorph_mev_per_atom": 319, "lattice": [[-1.613, 1.613, 10.245], [1.613, -1.613, 10.245], [1.613, 1.613, -10.245]], "species": ["Ag", "Ag", "P", "P", "P", "P"], "frac_coords": [[0.750, 0.250, 0.500], [0.000, 0.000, 0.000], [0.162, 0.662, 0.500], [0.588, 0.588, 0.000], [0.338, 0.838, 0.500], [0.412, 0.412, 0.000]]}

(6)
{"formula": "Rb2OsBrCl6", "functional": "GGA-PBE", "state": "optimized geometry", "formation_energy_uncorrected_ev_per_atom": -0.934, "e_above_lowest_polymorph_mev_per_atom": 58, "lattice": [[-3.752, 0.843, -6.847], [3.971, -6.110, -2.928], [-3.891, -6.081, -3.120]], "species": ["Os", "Br", "Rb", "Rb", "Cl", "Cl", "Cl", "Cl", "Cl", "Cl"], "frac_coords": [[0.000, 0.000, 0.000], [0.500, 0.500, 0.000], [0.750, 0.250, 0.500], [0.250, 0.750, 0.500], [0.210, 0.210, 0.580], [0.790, 0.790, 0.420], [0.211, 0.211, 0.000], [0.789, 0.789, 0.000], [0.789, 0.211, 0.000], [0.211, 0.789, 0.000]]}

What did we get for M_tot? Answer: 0.12 0.00 0.00 0.00 0.00 3.00 μB/f.u., in the order shown.